# 1
DFT (PBE) results for a geometry-optimized CuAs5 structure. Values from VASP.

Computed properties:
* density of states at the Fermi level: 0.165 states/eV/atom
* E_tot: -3.948 eV per atom
* total moment: 0.0 Bohr magnetons per cell
* formation energy from the elements: 0.61 eV per atom
* calculated volume: 123.8 Å³ per cell
* energy relative to the lowest polymorph listed for this composition: 373.4 meV/atom
* calculated density: 5876 kg/m³

The structure in Quantum ESPRESSO input format:
```
&SYSTEM
  ibrav = 0, nat = 6, ntyp = 2
/
ATOMIC_SPECIES
Cu 63.55 Cu.upf
As 74.92 As.upf
CELL_PARAMETERS angstrom
5.3966 0.0000 0.0000
-2.6983 4.6736 0.0000
0.0000 0.0000 4.9096
ATOMIC_POSITIONS crystal
Cu 0.0000 0.0000 0.0000
As 0.0000 0.5000 0.5000
As 0.3333 0.6667 0.0000
As 0.5000 0.0000 0.5000
As 0.5000 0.5000 0.5000
As 0.6667 0.3333 0.0000
```



# 2
DFT (PBE) results for a geometry-optimized FeP2Os structure. Values from VASP.

Computed properties:
* density of states at the Fermi level: 0.764 states/eV/atom
* E_tot: -7.301 eV per atom
* total moment: 1.1 Bohr magnetons per cell
* formation energy from the elements: 0.33 eV per atom
* calculated volume: 52.9 Å³ per cell
* energy relative to the lowest polymorph listed for this composition: 579.1 meV/atom
* calculated density: 9674 kg/m³

The structure in Quantum ESPRESSO input format:
```
&SYSTEM
  ibrav = 0, nat = 4, ntyp = 3
/
ATOMIC_SPECIES
Fe 55.84 Fe.upf
P 30.97 P.upf
Os 190.23 Os.upf
CELL_PARAMETERS angstrom
1.4012 -2.5341 0.0000
1.4012 2.5341 0.0000
0.0000 0.0000 7.4454
ATOMIC_POSITIONS crystal
Fe 0.0000 0.0000 0.0000
P 0.5000 0.5000 0.2369
P 0.5000 0.5000 0.7631
Os 0.0000 0.0000 0.5000
```